Record 1
A plane-wave DFT calculation with PBE was carried out for crystalline Pr5Nd4Ga4 at its relaxed geometry.

Structure (POSCAR):
```
Pr5Nd4Ga4
1.0
-6.083 6.083 2.601
6.083 -6.083 2.601
6.083 6.083 -2.601
Pr Nd Ga
5 4 4
direct
0.000 0.000 0.000
0.314 0.390 0.704
0.390 0.686 0.076
0.610 0.314 0.924
0.686 0.610 0.296
0.093 0.626 0.719
0.374 0.093 0.467
0.626 0.907 0.533
0.907 0.374 0.281
0.113 0.232 0.346
0.232 0.887 0.119
0.768 0.113 0.881
0.887 0.768 0.654
```

Results
- M_tot (μB per formula unit) = 0.000
- total energy (eV/atom) = -4.596


Record 2
A plane-wave DFT calculation with PBE was carried out for crystalline Pr2NdGa3 at its relaxed geometry.

Structure (POSCAR):
```
Pr2NdGa3
1.0
2.626 -7.890 0.000
2.626 7.890 0.000
0.000 0.000 7.433
Pr Nd Ga
4 2 6
direct
0.000 0.000 0.000
0.000 0.000 0.500
0.334 0.666 0.000
0.666 0.334 0.000
0.333 0.667 0.500
0.667 0.333 0.500
0.167 0.833 0.252
0.167 0.833 0.748
0.500 0.500 0.252
0.500 0.500 0.748
0.833 0.167 0.252
0.833 0.167 0.748
```

Results
- M_tot (μB per formula unit) = 0.000
- relative energy among the computed polymorphs (kJ per mole of atoms) = 0.00


Record 3
A plane-wave DFT calculation with PBE was carried out for crystalline Pr3NdGa4 at its relaxed geometry.

Structure (POSCAR):
```
Pr3NdGa4
1.0
3.718 0.000 0.000
0.000 3.718 0.000
0.000 0.000 14.879
Pr Nd Ga
3 1 4
direct
0.000 0.000 0.000
0.000 0.000 0.251
0.000 0.000 0.749
0.000 0.000 0.500
0.500 0.500 0.126
0.500 0.500 0.377
0.500 0.500 0.623
0.500 0.500 0.874
```

Results
- M_tot (μB per formula unit) = 0.000
- relative energy among the computed polymorphs (kJ per mole of atoms) = 0.00


Record 4
A plane-wave DFT calculation with PBE was carried out for crystalline Pr5NdGa3 at its relaxed geometry.

Structure (POSCAR):
```
Pr5NdGa3
1.0
8.085 -4.625 0.000
8.085 4.625 0.000
0.000 0.000 6.884
Pr Nd Ga
10 2 6
direct
0.158 0.842 0.750
0.166 0.510 0.250
0.182 0.182 0.000
0.182 0.182 0.500
0.490 0.834 0.250
0.510 0.166 0.750
0.818 0.818 0.000
0.818 0.818 0.500
0.834 0.490 0.750
0.842 0.158 0.250
0.500 0.500 0.000
0.500 0.500 0.500
0.167 0.501 0.750
0.168 0.832 0.250
0.499 0.833 0.750
0.501 0.167 0.250
0.832 0.168 0.750
0.833 0.499 0.250
```

Results
- M_tot (μB per formula unit) = 0.000
- total energy (eV/atom) = -4.548


Record 5
A plane-wave DFT calculation with PBE was carried out for crystalline Pr2Nd5Ga4 at its relaxed geometry.

Structure (POSCAR):
```
Pr2Nd5Ga4
1.0
13.197 -1.778 0.000
13.197 1.778 0.000
-0.009 0.000 7.233
Pr Nd Ga
2 5 4
direct
0.094 0.094 0.193
0.906 0.906 0.807
0.134 0.134 0.686
0.233 0.233 0.270
0.500 0.500 0.500
0.767 0.767 0.730
0.866 0.866 0.314
0.025 0.025 0.848
0.323 0.323 0.008
0.677 0.677 0.992
0.975 0.975 0.152
```

Results
- M_tot (μB per formula unit) = 0.003
- total energy (eV/atom) = -4.304


Record 6
A plane-wave DFT calculation with PBE was carried out for crystalline Pr4Nd3Ga at its relaxed geometry.

Structure (POSCAR):
```
Pr4Nd3Ga
1.0
3.705 0.000 0.000
0.000 3.705 0.000
0.000 0.000 19.527
Pr Nd Ga
4 3 1
direct
0.000 0.000 0.095
0.000 0.000 0.365
0.000 0.000 0.635
0.000 0.000 0.905
0.500 0.500 0.232
0.500 0.500 0.500
0.500 0.500 0.768
0.500 0.500 0.000
```

Results
- M_tot (μB per formula unit) = 0.000
- total energy (eV/atom) = -4.669


Record 7
A plane-wave DFT calculation with PBE was carried out for crystalline PrNd4Ga4 at its relaxed geometry.

Structure (POSCAR):
```
PrNd4Ga4
1.0
-5.168 5.168 2.462
5.168 -5.168 2.462
5.168 5.168 -2.462
Pr Nd Ga
1 4 4
direct
0.000 0.000 0.000
0.133 0.646 0.779
0.354 0.133 0.487
0.646 0.867 0.513
0.867 0.354 0.221
0.330 0.429 0.759
0.429 0.670 0.099
0.571 0.330 0.901
0.670 0.571 0.241
```

Results
- M_tot (μB per formula unit) = 0.002
- total energy (eV/atom) = -4.382


Record 8
A plane-wave DFT calculation with PBE was carried out for crystalline Pr3Nd5Ga2 at its relaxed geometry.

Structure (POSCAR):
```
Pr3Nd5Ga2
1.0
-5.848 7.990 3.523
5.848 -7.990 3.523
5.848 7.990 -3.523
Pr Nd Ga
6 10 4
direct
0.175 0.214 0.389
0.250 0.250 0.000
0.325 0.714 0.038
0.675 0.286 0.962
0.750 0.750 0.000
0.825 0.786 0.611
0.049 0.750 0.299
0.060 0.729 0.790
0.250 0.750 0.500
0.440 0.229 0.669
0.451 0.750 0.701
0.549 0.250 0.299
0.560 0.771 0.331
0.750 0.250 0.500
0.940 0.271 0.210
0.951 0.250 0.701
0.160 0.934 0.094
0.340 0.434 0.774
0.660 0.566 0.226
0.840 0.066 0.906
```

Results
- M_tot (μB per formula unit) = 0.000
- total energy (eV/atom) = -4.485


Record 9
A plane-wave DFT calculation with PBE was carried out for crystalline PrNdGa2Pt5 at its relaxed geometry.

Structure (POSCAR):
```
PrNdGa2Pt5
1.0
4.268 0.000 0.000
0.000 4.268 0.000
0.000 0.000 9.421
Pr Nd Ga Pt
1 1 2 5
direct
0.000 0.000 0.000
0.000 0.000 0.500
0.500 0.500 0.366
0.500 0.500 0.634
0.000 0.500 0.229
0.000 0.500 0.771
0.500 0.000 0.229
0.500 0.000 0.771
0.500 0.500 0.000
```

Results
- M_tot (μB per formula unit) = 0.000
- total energy (eV/atom) = -5.982


Record 10
A plane-wave DFT calculation with PBE was carried out for crystalline Pr2NdGa4Pt3 at its relaxed geometry.

Structure (POSCAR):
```
Pr2NdGa4Pt3
1.0
4.327 0.000 0.000
0.000 4.327 0.000
0.000 0.000 11.652
Pr Nd Ga Pt
2 1 4 3
direct
0.000 0.500 0.222
0.500 0.000 0.778
0.000 0.000 0.500
0.000 0.000 0.000
0.000 0.500 0.672
0.500 0.000 0.328
0.500 0.500 0.000
0.000 0.500 0.882
0.500 0.000 0.118
0.500 0.500 0.500
```

Results
- M_tot (μB per formula unit) = 0.000
- total energy (eV/atom) = -5.294


Record 11
A plane-wave DFT calculation with PBE was carried out for crystalline PrNd2Ga2Pt7 at its relaxed geometry.

Structure (POSCAR):
```
PrNd2Ga2Pt7
1.0
2.947 -2.914 0.000
2.947 2.914 0.000
-2.156 0.000 14.117
Pr Nd Ga Pt
1 2 2 7
direct
0.000 0.000 0.000
0.116 0.116 0.359
0.884 0.884 0.641
0.406 0.406 0.743
0.594 0.594 0.257
0.058 0.558 0.158
0.370 0.370 0.570
0.442 0.942 0.842
0.500 0.500 0.000
0.558 0.058 0.158
0.630 0.630 0.430
0.942 0.442 0.842
```

Results
- M_tot (μB per formula unit) = 0.000
- total energy (eV/atom) = -6.139


Record 12
A plane-wave DFT calculation with PBE was carried out for crystalline Pr2NdGa3Pt4 at its relaxed geometry.

Structure (POSCAR):
```
Pr2NdGa3Pt4
1.0
4.350 0.000 0.000
0.000 4.350 0.000
0.000 0.000 11.378
Pr Nd Ga Pt
2 1 3 4
direct
0.000 0.500 0.223
0.500 0.000 0.777
0.000 0.000 0.500
0.000 0.500 0.882
0.500 0.000 0.118
0.500 0.500 0.500
0.000 0.000 0.000
0.000 0.500 0.663
0.500 0.000 0.337
0.500 0.500 0.000
```

Results
- M_tot (μB per formula unit) = 0.000
- total energy (eV/atom) = -5.683


Record 13
A plane-wave DFT calculation with PBE was carried out for crystalline PrNdGaRh at its relaxed geometry.

Structure (POSCAR):
```
PrNdGaRh
1.0
7.284 0.000 0.000
0.000 7.284 0.000
0.000 0.000 7.284
Pr Nd Ga Rh
4 4 4 4
direct
0.000 0.000 0.000
0.000 0.500 0.500
0.500 0.000 0.500
0.500 0.500 0.000
0.000 0.000 0.500
0.000 0.500 0.000
0.500 0.000 0.000
0.500 0.500 0.500
0.250 0.250 0.750
0.250 0.750 0.250
0.750 0.250 0.250
0.750 0.750 0.750
0.250 0.250 0.250
0.250 0.750 0.750
0.750 0.250 0.750
0.750 0.750 0.250
```

Results
- M_tot (μB per formula unit) = 0.000
- relative energy among the computed polymorphs (kJ per mole of atoms) = 11.67


Record 14
A plane-wave DFT calculation with PBE was carried out for crystalline PrNdGaRh at its relaxed geometry.

Structure (POSCAR):
```
PrNdGaRh
1.0
3.960 0.000 0.000
0.000 4.434 0.000
0.000 0.000 11.324
Pr Nd Ga Rh
2 2 2 2
direct
0.000 0.000 0.000
0.000 0.500 0.500
0.500 0.000 0.285
0.500 0.500 0.785
0.500 0.000 0.584
0.500 0.500 0.084
0.000 0.000 0.735
0.000 0.500 0.235
```

Results
- M_tot (μB per formula unit) = 0.000
- relative energy among the computed polymorphs (kJ per mole of atoms) = 0.00


Record 15
A plane-wave DFT calculation with PBE was carried out for crystalline PrNdScGa at its relaxed geometry.

Structure (POSCAR):
```
PrNdScGa
1.0
7.574 0.000 0.000
0.000 7.574 0.000
0.000 0.000 7.574
Pr Nd Sc Ga
4 4 4 4
direct
0.000 0.000 0.000
0.000 0.500 0.500
0.500 0.000 0.500
0.500 0.500 0.000
0.000 0.000 0.500
0.000 0.500 0.000
0.500 0.000 0.000
0.500 0.500 0.500
0.250 0.250 0.750
0.250 0.750 0.250
0.750 0.250 0.250
0.750 0.750 0.750
0.250 0.250 0.250
0.250 0.750 0.750
0.750 0.250 0.750
0.750 0.750 0.250
```

Results
- M_tot (μB per formula unit) = 0.934
- total energy (eV/atom) = -4.865


Record 16
A plane-wave DFT calculation with PBE was carried out for crystalline PrNdTlGa at its relaxed geometry.

Structure (POSCAR):
```
PrNdTlGa
1.0
3.772 0.000 0.000
0.000 3.772 0.000
0.000 0.000 7.832
Pr Nd Tl Ga
1 1 1 1
direct
0.000 0.000 0.000
0.000 0.000 0.466
0.500 0.500 0.731
0.500 0.500 0.236
```

Results
- M_tot (μB per formula unit) = 0.000
- relative energy among the computed polymorphs (kJ per mole of atoms) = 0.00


Record 17
A plane-wave DFT calculation with PBE was carried out for crystalline PrNdTlGa at its relaxed geometry.

Structure (POSCAR):
```
PrNdTlGa
1.0
7.649 0.000 0.000
0.000 7.649 0.000
0.000 0.000 7.649
Pr Nd Tl Ga
4 4 4 4
direct
0.000 0.000 0.000
0.000 0.500 0.500
0.500 0.000 0.500
0.500 0.500 0.000
0.000 0.000 0.500
0.000 0.500 0.000
0.500 0.000 0.000
0.500 0.500 0.500
0.250 0.250 0.250
0.250 0.750 0.750
0.750 0.250 0.750
0.750 0.750 0.250
0.250 0.250 0.750
0.250 0.750 0.250
0.750 0.250 0.250
0.750 0.750 0.750
```

Results
- M_tot (μB per formula unit) = 0.000
- relative energy among the computed polymorphs (kJ per mole of atoms) = 2.81


Record 18
A plane-wave DFT calculation with PBE was carried out for crystalline Pr3Nd3Tl2Ga at its relaxed geometry.

Structure (POSCAR):
```
Pr3Nd3Tl2Ga
1.0
9.119 0.000 0.000
-4.559 7.897 0.000
0.000 0.000 3.886
Pr Nd Tl Ga
3 3 2 1
direct
0.000 0.268 0.000
0.268 0.000 0.000
0.732 0.732 0.000
0.000 0.610 0.500
0.390 0.390 0.500
0.610 0.000 0.500
0.333 0.667 0.000
0.667 0.333 0.000
0.000 0.000 0.500
```

Results
- M_tot (μB per formula unit) = 0.000
- total energy (eV/atom) = -4.348


Record 19
A plane-wave DFT calculation with PBE was carried out for crystalline PrNdTmGa at its relaxed geometry.

Structure (POSCAR):
```
PrNdTmGa
1.0
7.682 0.000 0.000
0.000 7.682 0.000
0.000 0.000 7.682
Pr Nd Tm Ga
4 4 4 4
direct
0.000 0.000 0.000
0.000 0.500 0.500
0.500 0.000 0.500
0.500 0.500 0.000
0.000 0.000 0.500
0.000 0.500 0.000
0.500 0.000 0.000
0.500 0.500 0.500
0.250 0.250 0.250
0.250 0.750 0.750
0.750 0.250 0.750
0.750 0.750 0.250
0.250 0.250 0.750
0.250 0.750 0.250
0.750 0.250 0.250
0.750 0.750 0.750
```

Results
- M_tot (μB per formula unit) = 0.005
- total energy (eV/atom) = -4.372


Record 20
A plane-wave DFT calculation with PBE was carried out for crystalline PrNdZnGa at its relaxed geometry.

Structure (POSCAR):
```
PrNdZnGa
1.0
7.420 0.000 0.000
0.000 7.420 0.000
0.000 0.000 7.420
Pr Nd Zn Ga
4 4 4 4
direct
0.000 0.000 0.000
0.000 0.500 0.500
0.500 0.000 0.500
0.500 0.500 0.000
0.000 0.000 0.500
0.000 0.500 0.000
0.500 0.000 0.000
0.500 0.500 0.500
0.250 0.250 0.250
0.250 0.750 0.750
0.750 0.250 0.750
0.750 0.750 0.250
0.250 0.250 0.750
0.250 0.750 0.250
0.750 0.250 0.250
0.750 0.750 0.750
```

Results
- M_tot (μB per formula unit) = 0.000
- total energy (eV/atom) = -3.899


V values, unit A^3/atom, following the record order: 29.61; 25.67; 25.72; 28.60; 30.87; 33.51; 29.23; 32.92; 19.07; 21.81; 20.21; 21.53; 24.15; 24.86; 27.16; 27.86; 27.97; 31.09; 28.33; 25.54.